Entry 1:
# PBE-GGA Hf6Os2N, optimized geometry
data_Hf6Os2N
_chemical_formula_sum 'Hf12 Os4 N2'
_cell_length_a 5.9737
_cell_length_b 6.4243
_cell_length_c 10.5463
_cell_angle_alpha 90.00
_cell_angle_beta 122.81
_cell_angle_gamma 90.00
_symmetry_space_group_name_H-M 'P 1 21/c 1'
_symmetry_Int_Tables_number 14
loop_
_symmetry_equiv_pos_as_xyz
'x,y,z'
'-x,-y,-z'
'-x,y+1/2,-z+1/2'
'x,-y+1/2,z+1/2'
loop_
_atom_site_label
_atom_site_type_symbol
_atom_site_fract_x
_atom_site_fract_y
_atom_site_fract_z
Hf1 Hf 0.1363 0.0255 0.2435
Hf2 Hf 0.2337 0.6909 0.0520
Hf3 Hf 0.3625 0.1810 0.0511
Os1 Os 0.2997 0.0962 0.7580
N1 N 0.0000 0.0000 0.0000
# * crystal system: monoclinic
# * ΔE_f (raw): -613 meV per atom
# * total magnetization: 0.0 μB per cell
# * calculated total energy: -10.669 eV per atom

***

Entry 2:
# PBE-GGA HfOsN2, optimized geometry
data_HfOsN2
_chemical_formula_sum 'Hf4 Os4 N8'
_cell_length_a 5.5636
_cell_length_b 5.5636
_cell_length_c 5.5636
_cell_angle_alpha 90.00
_cell_angle_beta 90.00
_cell_angle_gamma 90.00
_symmetry_space_group_name_H-M 'F m -3 m'
_symmetry_Int_Tables_number 225
_symmetry_space_group_name_Hall '-F 4 2 3'
loop_
_atom_site_label
_atom_site_type_symbol
_atom_site_fract_x
_atom_site_fract_y
_atom_site_fract_z
Hf1 Hf 0.0000 0.0000 0.0000
Os1 Os 0.0000 0.0000 0.5000
N1 N 0.2500 0.2500 0.2500
# * crystal system: cubic
# * ΔE_f (raw): 213 meV per atom
# * total magnetization: 0.0 μB per cell
# * calculated total energy: -9.245 eV per atom

***

Entry 3:
# PBE-GGA Hf3OsN, optimized geometry
data_Hf3OsN
_chemical_formula_sum 'Hf24 Os8 N8'
_cell_length_a 10.5041
_cell_length_b 11.8784
_cell_length_c 5.4424
_cell_angle_alpha 90.00
_cell_angle_beta 95.50
_cell_angle_gamma 90.00
_symmetry_space_group_name_H-M 'C 1 2/c 1'
_symmetry_Int_Tables_number 15
loop_
_symmetry_equiv_pos_as_xyz
'x,y,z'
'-x,-y,-z'
'-x,y,-z+1/2'
'x,-y,z+1/2'
'x+1/2,y+1/2,z'
'-x+1/2,-y+1/2,-z'
'-x+1/2,y+1/2,-z+1/2'
'x+1/2,-y+1/2,z+1/2'
loop_
_atom_site_label
_atom_site_type_symbol
_atom_site_fract_x
_atom_site_fract_y
_atom_site_fract_z
Hf1 Hf 0.0933 0.1409 0.0440
Hf2 Hf 0.1250 0.4295 0.1052
Hf3 Hf 0.1285 0.3010 0.5956
Os1 Os 0.1705 0.0762 0.5489
N1 N 0.0000 0.3009 0.2500
N2 N 0.0000 0.4386 0.7500
# * crystal system: monoclinic
# * ΔE_f (raw): -825 meV per atom
# * total magnetization: 0.0 μB per cell
# * calculated total energy: -10.708 eV per atom

***

Entry 4:
# PBE-GGA Hf8OsN2, optimized geometry
data_Hf8OsN2
_chemical_formula_sum 'Hf16 Os2 N4'
_cell_length_a 12.3308
_cell_length_b 6.2813
_cell_length_c 5.7901
_cell_angle_alpha 90.00
_cell_angle_beta 101.88
_cell_angle_gamma 90.00
_symmetry_space_group_name_H-M 'C 1 2/m 1'
_symmetry_Int_Tables_number 12
loop_
_symmetry_equiv_pos_as_xyz
'x,y,z'
'-x,-y,-z'
'-x,y,-z'
'x,-y,z'
'x+1/2,y+1/2,z'
'-x+1/2,-y+1/2,-z'
'-x+1/2,y+1/2,-z'
'x+1/2,-y+1/2,z'
loop_
_atom_site_label
_atom_site_type_symbol
_atom_site_fract_x
_atom_site_fract_y
_atom_site_fract_z
Hf1 Hf 0.0966 0.2494 0.2266
Hf2 Hf 0.1340 0.0000 0.7043
Hf3 Hf 0.1853 0.5000 0.7901
Os1 Os 0.0000 0.5000 0.5000
N1 N 0.1971 0.5000 0.1554
# * crystal system: monoclinic
# * ΔE_f (raw): -430 meV per atom
# * total magnetization: 0.0 μB per cell
# * calculated total energy: -10.203 eV per atom

***

Entry 5:
# PBE-GGA HfOsN2, optimized geometry
data_HfOsN2
_chemical_formula_sum 'Hf4 Os4 N8'
_cell_length_a 4.4276
_cell_length_b 4.4276
_cell_length_c 10.7627
_cell_angle_alpha 90.00
_cell_angle_beta 90.00
_cell_angle_gamma 90.00
_symmetry_space_group_name_H-M 'I -4 2 d'
_symmetry_Int_Tables_number 122
_symmetry_space_group_name_Hall 'I -4 2bw'
loop_
_atom_site_label
_atom_site_type_symbol
_atom_site_fract_x
_atom_site_fract_y
_atom_site_fract_z
Hf1 Hf 0.0000 0.0000 0.0000
Os1 Os 0.0000 0.0000 0.5000
N1 N 0.2254 0.2500 0.6250
# * crystal system: tetragonal
# * ΔE_f (raw): -368 meV per atom
# * total magnetization: 0.0 μB per cell
# * calculated total energy: -9.826 eV per atom

***

Entry 6:
# PBE-GGA Hf6OsN2, optimized geometry
data_Hf6OsN2
_chemical_formula_sum 'Hf12 Os2 N4'
_cell_length_a 10.7870
_cell_length_b 4.3837
_cell_length_c 7.7290
_cell_angle_alpha 90.00
_cell_angle_beta 118.06
_cell_angle_gamma 90.00
_symmetry_space_group_name_H-M 'C 1 2/m 1'
_symmetry_Int_Tables_number 12
loop_
_symmetry_equiv_pos_as_xyz
'x,y,z'
'-x,-y,-z'
'-x,y,-z'
'x,-y,z'
'x+1/2,y+1/2,z'
'-x+1/2,-y+1/2,-z'
'-x+1/2,y+1/2,-z'
'x+1/2,-y+1/2,z'
loop_
_atom_site_label
_atom_site_type_symbol
_atom_site_fract_x
_atom_site_fract_y
_atom_site_fract_z
Hf1 Hf 0.0225 0.0000 0.1939
Hf2 Hf 0.1635 0.5000 0.5636
Hf3 Hf 0.1989 0.5000 0.0938
Os1 Os 0.0000 0.0000 0.5000
N1 N 0.1864 0.0000 0.0871
# * crystal system: monoclinic
# * ΔE_f (raw): -736 meV per atom
# * total magnetization: 0.0 μB per cell
# * calculated total energy: -10.469 eV per atom

***

Question: Number 2 is which compound?
Answer: HfOsN2

***

Question: Number 6 is which compound?
Answer: Hf6OsN2